Record 1
Compound: CsRbSrHf2
Source: Alexandria via LeMat-Bulk
Functional: PBE-GGA
Structure: relaxed

Cell lengths 5.6269, 6.3294, 5.6269 Å; angles 90.00, 90.00, 90.00 degrees
Last column: nearest neighbours and their distance in Å.
Sites, in units of the cell vectors:
Cs1 0.0000 0.0000 0.0000  4 Hf 2.81
Rb1 0.5000 0.5000 0.5000  4 Sr 3.98, 8 Hf 4.23
Sr1 0.0000 0.5000 0.0000  2 Cs 3.16
Hf1 0.0000 0.0000 0.5000  2 Cs 2.81
Hf2 0.5000 0.0000 0.0000  2 Cs 2.81

## Properties
The calculation puts the calculated volume at 200 Å³/cell. The formation energy comes out at 1.788 eV/atom. The value obtained for the mass density is 5.5 g cm⁻³. As for the magnetic moment: 0.000 μB/f.u. The space-group type is P4/mmm, No. 123.


Record 2
Compound: Tb2ZnTe
Source: Alexandria via LeMat-Bulk
Functional: PBE-GGA
Structure: relaxed

Cell lengths 4.1260, 4.1260, 7.8816 Å; angles 74.83, 74.83, 60.00 degrees
Last column: nearest neighbours and their distance in Å.
Sites, in units of the cell vectors:
Tb1 0.2533 0.2533 0.2401  3 Zn 2.99, 3 Te 3.08
Tb2 0.7467 0.7467 0.7599  3 Zn 2.99, 3 Te 3.08
Zn1 0.0000 0.0000 0.0000  6 Tb 2.99
Te1 0.5000 0.5000 0.5000  6 Tb 3.08

## Properties
The calculation puts the calculated volume at 111 Å³/cell. The value obtained for the mass density is 7.7 g cm⁻³. As for the magnetic moment: 0.000 μB/f.u. For the energy relative to the elements, uncorrected, the calculation gives -768 meV per atom. The distance to the lowest polymorph of the same formula is 0.052 eV per atom. The space-group type is R-3m, No. 166.


Record 3
Compound: PrNd2Dy3
Source: Alexandria via LeMat-Bulk
Functional: PBE-GGA
Structure: relaxed

Cell lengths 6.4460, 8.1891, 8.1891 Å; angles 71.58, 90.00, 90.00 degrees
Last column: nearest neighbours and their distance in Å.
Sites, in units of the cell vectors:
Dy1 0.3151 0.9167 0.9167  3 Pr 3.30-3.59, 2 Nd 3.47, 2 Dy 3.69
Dy2 0.6076 0.1235 0.4884  2 Pr 3.21-3.27, 3 Nd 3.37-3.54, 1 Dy 3.49
Dy3 0.6076 0.4884 0.1235  2 Pr 3.21-3.27, 3 Nd 3.37-3.54, 1 Dy 3.49
Dy4 0.8151 0.0833 0.0833  3 Pr 3.30-3.59, 2 Nd 3.47, 2 Dy 3.69
Dy5 0.1076 0.5116 0.8765  2 Pr 3.21-3.27, 3 Nd 3.37-3.54, 1 Dy 3.49
Dy6 0.1076 0.8765 0.5116  2 Pr 3.21-3.27, 3 Nd 3.37-3.54, 1 Dy 3.49
Pr1 0.2906 0.1743 0.1743  7 Dy 3.21-3.59
Pr2 0.7906 0.8257 0.8257  7 Dy 3.21-3.59
Nd1 0.5686 0.3790 0.7391  4 Dy 3.37-3.54, 3 Nd 3.45-3.58
Nd2 0.0686 0.6210 0.2609  4 Dy 3.37-3.54, 3 Nd 3.45-3.58
Nd3 0.0686 0.2609 0.6210  4 Dy 3.37-3.54, 3 Nd 3.45-3.58
Nd4 0.5686 0.7391 0.3790  4 Dy 3.37-3.54, 3 Nd 3.45-3.58

## Properties
The calculation puts the calculated volume at 410 Å³/cell. The formation energy comes out at 0.207 eV/atom. The value obtained for the mass density is 7.4 g cm⁻³. As for the magnetic moment: 0.000 μB/f.u. The distance to the lowest polymorph of the same formula is 0.142 eV per atom. The space-group type is Cmc2_1, No. 36.


Record 4
Compound: Na3TeH
Source: Alexandria via LeMat-Bulk
Functional: PBE-GGA
Structure: relaxed

Cell lengths 5.9071, 5.9071, 5.9071 Å; angles 86.66, 86.66, 86.66 degrees
Last column: nearest neighbours and their distance in Å.
Sites, in units of the cell vectors:
Na1 0.6647 0.6647 0.0708  1 H 2.22
Na2 0.0708 0.6647 0.6647  1 H 2.22
Na3 0.6647 0.0708 0.6647  1 H 2.22
Te1 0.5677 0.5677 0.5677  6 Na 2.99-3.15
H1 0.9071 0.9071 0.9071  3 Na 2.22

## Properties
The calculation puts the calculated volume at 205 Å³/cell. The value obtained for the mass density is 1.6 g cm⁻³. As for the magnetic moment: 0.000 μB/f.u. The distance to the lowest polymorph of the same formula is 0.195 eV per atom. The space-group type is R3m, No. 160.


Record 5
Compound: Ce4HoBi5
Source: Alexandria via LeMat-Bulk
Functional: PBE-GGA
Structure: relaxed

Cell lengths 6.4746, 7.9230, 7.9230 Å; angles 80.39, 65.88, 65.88 degrees
Last column: nearest neighbours and their distance in Å.
Sites, in units of the cell vectors:
Ce1 0.5990 0.6017 0.2024  6 Bi 3.23-3.26
Ce2 0.8013 0.7976 0.6017  6 Bi 3.23-3.26
Ce3 0.2007 0.2024 0.3983  6 Bi 3.23-3.26
Ce4 0.4030 0.3983 0.7976  6 Bi 3.23-3.26
Bi1 0.7053 0.1961 0.3951  1 Ho 3.19, 5 Ce 3.24-3.26
Bi2 0.5012 0.0000 0.0000  4 Ce 3.23, 2 Ho 3.24
Bi3 0.9015 0.3951 0.8039  1 Ho 3.19, 5 Ce 3.24-3.26
Bi4 0.2966 0.8039 0.6049  1 Ho 3.19, 5 Ce 3.24-3.26
Bi5 0.1005 0.6049 0.1961  1 Ho 3.19, 5 Ce 3.24-3.26
Ho1 0.0013 0.0000 0.0000  6 Bi 3.19-3.24

## Properties
The calculation puts the calculated volume at 339 Å³/cell. The formation energy comes out at -0.796 eV/atom. The value obtained for the mass density is 8.7 g cm⁻³. As for the magnetic moment: 3.541 μB/f.u. The space-group type is I4/m, No. 87.


Record 6
Compound: Tb2PaTe6
Source: Alexandria via LeMat-Bulk
Functional: PBE-GGA
Structure: relaxed

Cell lengths 7.2789, 7.2789, 13.2981 Å; angles 90.00, 90.00, 90.00 degrees
Last column: nearest neighbours and their distance in Å.
Sites, in units of the cell vectors:
Te1 0.2080 0.7920 0.5000  1 Pa 3.01, 2 Tb 3.08
Te2 0.7993 0.2007 0.8384  1 Pa 2.98, 2 Tb 3.08
Te3 0.2007 0.7993 0.1616  1 Pa 2.98, 2 Tb 3.08
Te4 0.2993 0.2993 0.3384  1 Pa 2.98, 2 Tb 3.08
Te5 0.7007 0.7007 0.3384  1 Pa 2.98, 2 Tb 3.08
Te6 0.2007 0.7993 0.8384  1 Pa 2.98, 2 Tb 3.08
Te7 0.7007 0.7007 0.6616  1 Pa 2.98, 2 Tb 3.08
Te8 0.2993 0.2993 0.6616  1 Pa 2.98, 2 Tb 3.08
Te9 0.7993 0.2007 0.1616  1 Pa 2.98, 2 Tb 3.08
Te10 0.7920 0.2080 0.5000  1 Pa 3.01, 2 Tb 3.08
Te11 0.2920 0.2920 0.0000  1 Pa 3.01, 2 Tb 3.08
Te12 0.7080 0.7080 0.0000  1 Pa 3.01, 2 Tb 3.08
Pa1 0.0000 0.0000 0.0000  6 Te 2.98-3.01
Pa2 0.5000 0.5000 0.5000  6 Te 2.98-3.01
Tb1 0.0000 0.0000 0.3334  6 Te 3.08
Tb2 0.5000 0.5000 0.8334  6 Te 3.08
Tb3 0.5000 0.5000 0.1666  6 Te 3.08
Tb4 0.0000 0.0000 0.6666  6 Te 3.08

## Properties
The calculation puts the calculated volume at 705 Å³/cell. The value obtained for the mass density is 6.2 g cm⁻³. As for the magnetic moment: 0.000 μB/f.u. For the energy relative to the elements, uncorrected, the calculation gives -953 meV per atom. The space-group type is P4_2/mnm, No. 136.


Record 7
Compound: BaAs2Ir
Source: Alexandria via LeMat-Bulk
Functional: PBE-GGA
Structure: relaxed

Cell lengths 7.6318, 7.6318, 6.5493 Å; angles 54.36, 54.36, 90.00 degrees
Last column: nearest neighbours and their distance in Å.
Sites, in units of the cell vectors:
As1 0.8750 0.9800 0.7500  2 Ir 2.39
As2 0.7300 0.1250 0.2500  2 Ir 2.39
As3 0.3750 0.2700 0.7500  2 Ir 2.39
As4 0.0200 0.6250 0.2500  2 Ir 2.39
Ba1 0.5000 0.5000 0.0000  8 As 3.44-3.55, 2 Ir 3.71
Ba2 0.2500 0.7500 0.5000  8 As 3.44-3.55, 2 Ir 3.71
Ir1 0.0000 0.0000 0.0000  4 As 2.39
Ir2 0.7500 0.2500 0.5000  4 As 2.39

## Properties
The calculation puts the calculated volume at 216 Å³/cell. The formation energy comes out at -0.570 eV/atom. The value obtained for the mass density is 7.4 g cm⁻³. As for the magnetic moment: 0.000 μB/f.u. The space-group type is I-42d, No. 122.


Record 8
Compound: Co3Os
Source: Alexandria via LeMat-Bulk
Functional: PBE-GGA
Structure: relaxed

Cell lengths 5.0823, 4.0969, 4.3883 Å; angles 90.00, 90.00, 90.00 degrees
Last column: nearest neighbours and their distance in Å.
Sites, in units of the cell vectors:
Co1 0.7497 0.5000 0.8345  8 Co 2.51-2.54, 4 Os 2.52-2.54
Co2 0.2503 0.5000 0.8345  8 Co 2.51-2.54, 4 Os 2.52-2.54
Co3 0.5000 0.0000 0.6662  4 Os 2.52-2.54, 8 Co 2.52-2.54
Co4 0.2497 0.0000 0.1655  8 Co 2.51-2.54, 4 Os 2.52-2.54
Co5 0.0000 0.5000 0.3338  4 Os 2.52-2.54, 8 Co 2.52-2.54
Co6 0.7503 0.0000 0.1655  8 Co 2.51-2.54, 4 Os 2.52-2.54
Os1 0.0000 0.0000 0.6678  12 Co 2.52-2.54
Os2 0.5000 0.5000 0.3322  12 Co 2.52-2.54

## Properties
The calculation puts the calculated volume at 91 Å³/cell. The formation energy comes out at 0.089 eV/atom. The value obtained for the mass density is 13.3 g cm⁻³. As for the magnetic moment: 2.273 μB/f.u. The space-group type is Pmmn, No. 59.